# 1
First-principles (PBE) data for LiMgPd14 after structural relaxation, as listed in the Alexandria database.

Properties
- D(E_F): 1.72 states/eV per atom
- Magnetization: 0.000 μB per formula unit
- Formation enthalpy at 0 K: -178 meV per atom
- SG: P4/mmm, No. 123

a b c (Å): 5.5567 5.5567 7.9080
angles (deg): 90.00 90.00 90.01
Closest atoms and distances in Å follow each position.
Fractional coordinates of all 16 atoms:
Pd (0.1260, 0.1260, 0.2537)  1 Li 2.76, 10 Pd 2.77-2.81, 1 Mg 2.77
Pd (0.6242, 0.1259, 0.7463)  1 Li 2.76, 10 Pd 2.77-2.81, 1 Mg 2.77
Pd (0.1260, 0.1260, 0.7463)  1 Li 2.76, 10 Pd 2.77-2.81, 1 Mg 2.77
Pd (0.8750, 0.3750, 0.5000)  8 Pd 2.77, 2 Li 2.78, 2 Mg 2.78
Pd (0.8750, 0.3750, 0.0000)  12 Pd 2.78-2.81
Pd (0.6241, 0.6241, 0.2537)  1 Li 2.76, 10 Pd 2.77-2.81, 1 Mg 2.77
Pd (0.1259, 0.6242, 0.2537)  1 Li 2.76, 10 Pd 2.77-2.81, 1 Mg 2.77
Pd (0.6242, 0.1259, 0.2537)  1 Li 2.76, 10 Pd 2.77-2.81, 1 Mg 2.77
Pd (0.3750, 0.3750, 0.0000)  12 Pd 2.78-2.80
Pd (0.3750, 0.8750, 0.5000)  8 Pd 2.77, 2 Li 2.78, 2 Mg 2.78
Pd (0.1259, 0.6242, 0.7463)  1 Li 2.76, 10 Pd 2.77-2.81, 1 Mg 2.77
Pd (0.3750, 0.8750, 0.0000)  12 Pd 2.78-2.81
Pd (0.6241, 0.6241, 0.7463)  1 Li 2.76, 10 Pd 2.77-2.81, 1 Mg 2.77
Pd (0.8750, 0.8750, 0.0000)  12 Pd 2.78-2.81
Li (0.3750, 0.3750, 0.5000)  12 Pd 2.76-2.78
Mg (0.8750, 0.8750, 0.5000)  12 Pd 2.77-2.78

---

# 2
First-principles (PBE) data for LiMgPd5 after structural relaxation, as listed in the Alexandria database.

Properties
- D(E_F): 0.95 states/eV per atom
- Magnetization: 0.000 μB per formula unit
- Formation enthalpy at 0 K: 359 meV per atom
- SG: Imm2, No. 44

a b c (Å): 5.1849 7.1362 6.2560
angles (deg): 124.77 114.48 90.00
Closest atoms and distances in Å follow each position.
Fractional coordinates of all 7 atoms:
Pd (0.1843, 0.8176, 0.0000)  4 Pd 2.51-2.60, 1 Mg 2.73
Pd (0.8543, 0.7536, 0.5072)  3 Pd 2.50-2.58, 1 Mg 2.71
Pd (0.3471, 0.2464, 0.4928)  3 Pd 2.50-2.58, 1 Mg 2.71
Pd (0.3905, 0.5000, 0.0000)  4 Pd 2.50-2.51, 2 Mg 2.59-2.60
Pd (0.1843, 0.1824, 0.0000)  4 Pd 2.51-2.60, 1 Mg 2.73
Mg (0.8915, 0.5000, 0.0000)  6 Pd 2.59-2.73
Li (0.6788, 0.0000, 0.0000)  6 Pd 2.88-3.09

---

# 3
First-principles (PBE) data for Li4Mg7Pd after structural relaxation, as listed in the Alexandria database.

Properties
- D(E_F): 0.32 states/eV per atom
- Magnetization: 0.000 μB per formula unit
- Formation enthalpy at 0 K: -63 meV per atom
- SG: C2/m, No. 12

a b c (Å): 5.0695 7.9682 7.5628
angles (deg): 62.43 70.42 71.45
Closest atoms and distances in Å follow each position.
Fractional coordinates of all 12 atoms:
Mg (0.2163, 0.7636, 0.8038)  1 Pd 2.67, 4 Li 2.74-2.90, 2 Mg 2.89-2.99
Mg (0.0715, 0.5956, 0.2615)  1 Pd 2.87, 4 Mg 2.99-3.20, 5 Li 3.05-3.07
Mg (0.5000, 0.0000, 0.0000)  2 Pd 2.53, 2 Li 2.75
Mg (0.9285, 0.4044, 0.7385)  1 Pd 2.87, 4 Mg 2.99-3.20, 5 Li 3.05-3.07
Mg (0.1890, 0.1441, 0.4778)  5 Mg 2.89-3.20, 3 Li 2.97-3.21
Mg (0.7837, 0.2364, 0.1962)  1 Pd 2.67, 4 Li 2.74-2.90, 2 Mg 2.89-2.99
Mg (0.8110, 0.8559, 0.5222)  5 Mg 2.89-3.20, 3 Li 2.97-3.21
Li (0.4338, 0.7051, 0.4273)  1 Li 2.85, 6 Mg 2.89-3.05
Li (0.6781, 0.6318, 0.0120)  7 Mg 2.74-3.07
Li (0.3219, 0.3682, 0.9880)  7 Mg 2.74-3.07
Li (0.5662, 0.2949, 0.5727)  1 Li 2.85, 6 Mg 2.89-3.05
Pd (0.0000, 0.0000, 0.0000)  4 Mg 2.53-2.67

---

# 4
First-principles (PBE) data for Li4Mg4Pd3 after structural relaxation, as listed in the Alexandria database.

Properties
- D(E_F): 0.39 states/eV per atom
- Magnetization: 0.000 μB per formula unit
- Formation enthalpy at 0 K: -377 meV per atom
- SG: P-1, No. 2

a b c (Å): 2.9505 4.5278 13.9557
angles (deg): 79.58 85.24 91.80
Closest atoms and distances in Å follow each position.
Fractional coordinates of all 11 atoms:
Mg (0.6816, 0.7099, 0.5698)  2 Pd 2.75-2.84, 5 Li 2.79-3.03, 2 Mg 2.95
Mg (0.5308, 0.0824, 0.8243)  4 Li 2.71-2.88, 5 Pd 2.76-2.97, 2 Mg 2.95
Mg (0.3184, 0.2901, 0.4302)  2 Pd 2.75-2.84, 5 Li 2.79-3.03, 2 Mg 2.95
Mg (0.4692, 0.9177, 0.1757)  4 Li 2.71-2.88, 5 Pd 2.76-2.97, 2 Mg 2.95
Li (0.0927, 0.1697, 0.6454)  2 Pd 2.63-2.66, 5 Mg 2.79-2.93
Li (0.7396, 0.5340, 0.9199)  2 Li 2.51-2.79, 3 Pd 2.59-2.68, 2 Mg 2.71-2.72
Li (0.2604, 0.4660, 0.0801)  2 Li 2.51-2.79, 3 Pd 2.59-2.68, 2 Mg 2.71-2.72
Li (0.9072, 0.8303, 0.3546)  2 Pd 2.63-2.66, 5 Mg 2.79-2.93
Pd (0.8628, 0.3801, 0.2565)  3 Li 2.59-2.66, 4 Mg 2.75-2.84
Pd (0.1371, 0.6200, 0.7435)  3 Li 2.59-2.66, 4 Mg 2.75-2.84
Pd (0.0000, 0.0000, 0.0000)  4 Li 2.64-2.68, 4 Mg 2.76-2.89, 2 Pd 2.95

---

# 5
First-principles (PBE) data for Li3MgPd12 after structural relaxation, as listed in the Alexandria database.

Properties
- D(E_F): 1.16 states/eV per atom
- Magnetization: 0.000 μB per formula unit
- Formation enthalpy at 0 K: -310 meV per atom
- SG: P4/mmm, No. 123

a b c (Å): 3.9256 3.9256 15.4912
angles (deg): 90.00 90.00 90.00
Closest atoms and distances in Å follow each position.
Fractional coordinates of all 16 atoms:
Li (0.0000, 0.0000, 0.7465)  12 Pd 2.74-2.78
Li (0.0000, 0.0000, 0.5000)  12 Pd 2.74-2.78
Li (0.0000, 0.0000, 0.2535)  12 Pd 2.74-2.78
Pd (0.0000, 0.5000, 0.8710)  8 Pd 2.75-2.80, 2 Li 2.75, 2 Mg 2.80
Pd (0.5000, 0.0000, 0.8710)  8 Pd 2.75-2.80, 2 Li 2.75, 2 Mg 2.80
Pd (0.5000, 0.5000, 0.0000)  4 Mg 2.78, 8 Pd 2.80
Pd (0.5000, 0.5000, 0.7470)  8 Pd 2.74-2.75, 4 Li 2.78
Pd (0.0000, 0.5000, 0.3767)  4 Li 2.74, 8 Pd 2.74-2.78
Pd (0.5000, 0.0000, 0.1290)  8 Pd 2.75-2.80, 2 Li 2.75, 2 Mg 2.80
Pd (0.0000, 0.5000, 0.1290)  8 Pd 2.75-2.80, 2 Li 2.75, 2 Mg 2.80
Pd (0.5000, 0.5000, 0.5000)  8 Pd 2.74, 4 Li 2.78
Pd (0.5000, 0.5000, 0.2530)  8 Pd 2.74-2.75, 4 Li 2.78
Pd (0.5000, 0.0000, 0.6233)  4 Li 2.74, 8 Pd 2.74-2.78
Pd (0.0000, 0.5000, 0.6233)  4 Li 2.74, 8 Pd 2.74-2.78
Pd (0.5000, 0.0000, 0.3767)  4 Li 2.74, 8 Pd 2.74-2.78
Mg (0.0000, 0.0000, 0.0000)  12 Pd 2.78-2.80

---

# 6
First-principles (PBE) data for Li6MgPd5 after structural relaxation, as listed in the Alexandria database.

Properties
- D(E_F): 0.25 states/eV per atom
- Magnetization: 0.000 μB per formula unit
- Formation enthalpy at 0 K: -415 meV per atom
- SG: C2/m, No. 12

a b c (Å): 7.3923 4.3034 6.8535
angles (deg): 71.70 79.38 54.05
Closest atoms and distances in Å follow each position.
Fractional coordinates of all 12 atoms:
Pd (0.0000, 0.3448, 0.3105)  8 Li 2.60-2.68
Pd (0.5000, 0.1618, 0.6764)  8 Li 2.50-2.60
Pd (0.5000, 0.5000, 0.0000)  8 Li 2.53-2.72
Pd (0.0000, 0.6552, 0.6895)  8 Li 2.60-2.68
Pd (0.5000, 0.8382, 0.3236)  8 Li 2.50-2.60
Li (0.2740, 0.2258, 0.0000)  6 Pd 2.50-2.60, 2 Mg 2.70-2.71, 1 Li 2.70
Li (0.7410, 0.0806, 0.3552)  7 Pd 2.54-2.72, 1 Mg 2.78
Li (0.2590, 0.9194, 0.6448)  7 Pd 2.54-2.72, 1 Mg 2.78
Li (0.7260, 0.7742, 0.0000)  6 Pd 2.50-2.60, 2 Mg 2.70-2.71, 1 Li 2.70
Li (0.2590, 0.5642, 0.3552)  7 Pd 2.54-2.72, 1 Mg 2.78
Li (0.7410, 0.4358, 0.6448)  7 Pd 2.54-2.72, 1 Mg 2.78
Mg (0.0000, 0.0000, 0.0000)  8 Li 2.70-2.78, 6 Pd 2.95-2.99

---

Q: Which of these has the lowest formation enthalpy at 0 K?
A: Li6MgPd5